DFT (PBE) results for a geometry-optimized Sr2Ca structure.

Geometry as extended XYZ:
```
6
Lattice="4.136 0.000 0.000 -2.068 3.582 0.000 0.000 0.000 20.498" Properties=species:S:1:pos:R:3 pbc="T T T"
Ca 0.000 2.388 15.373
Ca 2.068 1.194 5.124
Sr 0.000 2.388 8.473
Sr 2.068 1.194 18.722
Sr 0.000 2.388 1.775
Sr 2.068 1.194 12.024
```

Values from the calculation:
M_tot in μB/atom: 0.000
ΔE to the lowest computed polymorph in meV per atom: 9
Energy relative to the elements in eV per atom: 0.02

---

DFT (PBE) results for a geometry-optimized Sr3Ca structure.

Geometry as extended XYZ:
```
4
Lattice="7.720 -0.003 -0.009 -3.508 6.877 -0.009 -3.508 -5.725 3.809" Properties=species:S:1:pos:R:3 pbc="T T T"
Sr 2.106 3.437 -0.009
Sr 2.106 -2.864 1.900
Sr -3.508 0.576 1.900
Ca 0.000 0.000 0.000
```

Values from the calculation:
M_tot in μB/atom: 0.000
Energy relative to the elements in eV per atom: 0.02

---

DFT (PBE) results for a geometry-optimized Sr3Ca4 structure.

Geometry as extended XYZ:
```
7
Lattice="4.069 0.000 0.000 0.000 5.695 0.000 -2.034 -2.848 14.237" Properties=species:S:1:pos:R:3 pbc="T T T"
Ca 0.000 2.848 12.181
Ca 2.034 0.000 2.056
Ca 2.035 0.000 6.156
Ca 0.000 2.848 8.081
Sr 0.000 2.848 4.115
Sr 0.000 2.848 0.000
Sr 2.034 0.000 10.123
```

Values from the calculation:
M_tot in μB/atom: 0.000
ΔE to the lowest computed polymorph in meV per atom: 0
Energy relative to the elements in eV per atom: 0.02

---

DFT (PBE) results for a geometry-optimized Sr3Ca structure.

Geometry as extended XYZ:
```
16
Lattice="6.720 0.000 0.000 0.000 6.721 0.000 0.000 0.000 17.994" Properties=species:S:1:pos:R:3 pbc="T T T"
Sr 0.000 3.360 6.864
Sr 3.360 0.000 15.861
Sr 3.360 3.361 13.496
Sr 6.720 3.361 15.861
Sr 3.360 6.720 2.133
Sr 0.000 0.000 13.496
Sr 0.000 3.360 2.133
Sr 3.360 6.720 6.864
Sr 6.720 6.720 4.499
Sr 3.360 3.360 4.499
Sr 3.360 0.000 11.130
Sr 6.720 3.361 11.130
Ca 3.360 3.360 0.000
Ca 0.000 0.000 0.000
Ca 0.000 0.000 8.997
Ca 3.360 3.360 8.997
```

Values from the calculation:
M_tot in μB/atom: 0.000
Energy relative to the elements in eV per atom: 0.02

---

DFT (PBE) results for a geometry-optimized SrCa structure.

Geometry as extended XYZ:
```
4
Lattice="-3.676 1.662 5.805 2.646 -3.500 5.543 3.073 4.015 -4.941" Properties=species:S:1:pos:R:3 pbc="T T T"
Sr -0.559 2.379 3.269
Sr -0.515 -0.919 5.674
Ca 2.602 -0.202 3.138
Ca 0.000 0.000 0.000
```

Values from the calculation:
M_tot in μB/atom: 0.000
ΔE to the lowest computed polymorph in meV per atom: 4
Energy relative to the elements in eV per atom: 0.02

---

DFT (PBE) results for a geometry-optimized Sr3Ca structure.

Geometry as extended XYZ:
```
4
Lattice="4.166 0.000 0.000 -2.083 3.608 0.000 0.000 0.000 13.761" Properties=species:S:1:pos:R:3 pbc="T T T"
Ca 0.000 0.000 0.000
Sr 2.083 1.203 3.337
Sr 2.083 1.203 10.425
Sr 0.000 0.000 6.881
```

Values from the calculation:
M_tot in μB/atom: 0.000
Energy relative to the elements in eV per atom: 0.02